A geometry-optimized Y2InI structure, computed with PBE.

abc: 9.1414 9.1414 9.1414
angles: 138.77 138.77 59.73
Fractional coordinates of all 8 atoms:
Y  0.0966  0.6250  0.9716
Y  0.3750  0.3466  0.4716
Y  0.6534  0.1250  0.0284
Y  0.8750  0.9034  0.5284
In  0.0000  0.0000  0.0000
In  0.7500  0.2500  0.5000
I  0.2500  0.7500  0.5000
I  0.5000  0.5000  0.0000

**Crystal system**: tetragonal
**Energy**: -34.69 eV per cell
**Formation energy (no corrections)**: -32 meV per atom

A geometry-optimized LuCdAgPt structure, computed with PBE.

abc: 4.8046 4.8046 4.8046
angles: 60.00 60.00 60.00
Fractional coordinates of all 4 atoms:
Lu  0.0000  0.0000  0.0000
Cd  0.5000  0.5000  0.5000
Ag  0.2500  0.2500  0.2500
Pt  0.7500  0.7500  0.7500

**Crystal system**: cubic
**Energy**: -16.75 eV per cell
**Energy relative to the elements**: -605 meV per atom

A geometry-optimized La5GaCl5 structure, computed with PBE.

abc: 7.1951 7.1951 8.3996
angles: 106.33 106.33 48.38
Fractional coordinates of all 11 atoms:
La  0.0000  0.0000  0.0000
La  0.3260  0.3260  0.1605
La  0.3347  0.3347  0.6689
La  0.6653  0.6653  0.3311
La  0.6740  0.6740  0.8395
Ga  0.5000  0.5000  0.0000
Cl  0.1517  0.1517  0.3443
Cl  0.1579  0.1579  0.8141
Cl  0.5000  0.5000  0.5000
Cl  0.8421  0.8421  0.1859
Cl  0.8483  0.8483  0.6557

**Crystal system**: monoclinic
**Energy**: -54.15 eV per cell
**Formation energy (no corrections)**: -1569 meV per atom

A geometry-optimized NaPNO2 structure, computed with PBE.

abc: 3.5760 3.5760 3.3623
angles: 90.00 90.00 90.00
Fractional coordinates of all 5 atoms:
Na  0.0000  0.0000  0.0000
P  0.5000  0.5000  0.5000
N  0.5000  0.5000  0.0000
O  0.0000  0.5000  0.5000
O  0.5000  0.0000  0.5000

**Crystal system**: tetragonal
**Energy**: -28.53 eV per cell
**Formation energy (no corrections)**: -711 meV per atom

A geometry-optimized KSrPb2 structure, computed with PBE.

abc: 6.3350 6.3350 6.3350
angles: 131.91 131.91 70.37
Fractional coordinates of all 4 atoms:
K  0.0000  0.0000  0.0000
Sr  0.5000  0.5000  0.0000
Pb  0.2500  0.7500  0.5000
Pb  0.7500  0.2500  0.5000

**Crystal system**: tetragonal
**Energy**: -11.21 eV per cell
**Energy relative to the elements**: -253 meV per atom

A geometry-optimized DySi3Pt2 structure, computed with PBE.

abc: 8.0163 8.0163 7.1450
angles: 114.46 114.46 29.57
Fractional coordinates of all 12 atoms:
Dy  0.1259  0.1259  0.1574
Dy  0.8741  0.8741  0.8426
Si  0.0446  0.0446  0.6756
Si  0.3176  0.3176  0.1092
Si  0.3408  0.3408  0.5336
Si  0.6592  0.6592  0.4664
Si  0.6824  0.6824  0.8908
Si  0.9554  0.9554  0.3244
Pt  0.2106  0.2106  0.6994
Pt  0.4880  0.4880  0.1852
Pt  0.5120  0.5120  0.8148
Pt  0.7894  0.7894  0.3006

**Crystal system**: monoclinic
**Energy**: -75.40 eV per cell
**Formation energy (no corrections)**: -791 meV per atom

Among the records above, which one has the highest energy?
KSrPb2

Which value of energy does entry 1 give?
-34.69 eV per cell